# CoPbSO

Crystalline CoPbSO at its relaxed geometry (PBE with a Hubbard U, the Open Quantum Materials Database).

abc: 3.8493 13.8220 5.8709
angles: 90.00 90.00 90.00
Closest atoms and distances in Å follow each position.
Sites, in units of the cell vectors:
Co: 0.0000 0.0543 0.0000  2 O 1.94-2.00
Co: 0.0000 0.9457 0.5000  2 O 1.94-2.00
Co: 0.5000 0.4457 0.5000  2 O 1.94-2.00
Co: 0.5000 0.5543 0.0000  2 O 1.94-2.00
Pb: 0.0000 0.3311 0.9038  2 O 2.40
Pb: 0.0000 0.6689 0.4038  2 O 2.40
Pb: 0.5000 0.1689 0.4038  2 O 2.40
Pb: 0.5000 0.8311 0.9038  2 O 2.40
S: 0.0000 0.3587 0.3905  2 Co 2.36
S: 0.0000 0.6413 0.8905  2 Co 2.36
S: 0.5000 0.1413 0.8905  2 Co 2.36
S: 0.5000 0.8587 0.3905  2 Co 2.36
O: 0.0000 0.0682 0.3394  2 Co 1.94-2.00
O: 0.0000 0.9318 0.8394  2 Co 1.94-2.00
O: 0.5000 0.4318 0.8394  2 Co 1.94-2.00
O: 0.5000 0.5682 0.3394  2 Co 1.94-2.00

- DFT total energy (eV/atom) = -5.1998
- energy above the lowest structure with this stoichiometry (eV per formula unit) = 0.023
- volume (Å³/atom) = 19.52